Material: SiRhSe2
Method: DFT, PBE
State: relaxed

abc: 3.714 3.714 6.381
angles: 73.09 73.09 60.06
Positions (direct):
Rh  0.250  0.250  0.250
Se  0.998  0.998  0.007
Se  0.502  0.502  0.493
Si  0.750  0.750  0.750

Summary:
magnetization = 0.00 μB per cell
SG = R-3m
formation energy without anion corrections = -12.0 kJ/mol of formula units
V = 17.96 Å³ per atom



Material: Si2Rh2Se
Method: DFT, PBE
State: relaxed

abc: 3.635 3.635 6.613
angles: 74.05 74.05 90.00
Positions (direct):
Si  0.750  0.250  0.500
Si  0.250  0.750  0.500
Rh  0.373  0.373  0.254
Rh  0.627  0.627  0.746
Se  0.000  0.000  0.000

Summary:
magnetization = 0.00 μB per cell
SG = I4/mmm
formation energy without anion corrections = -230.0 kJ/mol of formula units
V = 16.10 Å³ per atom



Material: SiRhSe2
Method: DFT, PBE
State: relaxed

abc: 3.162 3.162 6.903
angles: 90.00 90.00 90.00
Positions (direct):
Rh  0.500  0.500  0.750
Se  0.000  0.000  0.978
Se  0.000  0.000  0.522
Si  0.500  0.500  0.250

Summary:
magnetization = 0.00 μB per cell
SG = P4/mmm
formation energy without anion corrections = 109.6 kJ/mol of formula units
V = 17.25 Å³ per atom



Material: SiRhSe2
Method: DFT, PBE
State: relaxed

abc: 3.262 3.262 7.173
angles: 90.00 90.00 90.00
Positions (direct):
Rh  0.500  0.500  0.697
Se  0.000  0.000  0.914
Se  0.500  0.500  0.347
Si  0.000  0.000  0.542

Summary:
magnetization = 0.00 μB per cell
SG = P4mm
formation energy without anion corrections = -13.8 kJ/mol of formula units
V = 19.08 Å³ per atom



Material: SiRhSe2
Method: DFT, PBE
State: relaxed

abc: 2.852 2.852 9.539
angles: 90.00 90.00 89.99
Positions (direct):
Rh  0.500  0.500  0.704
Se  0.000  0.000  0.925
Se  0.500  0.500  0.312
Si  0.000  0.000  0.560

Summary:
magnetization = 0.00 μB per cell
SG = P4mm
formation energy without anion corrections = 23.7 kJ/mol of formula units
V = 19.40 Å³ per atom



Material: SiRhSe3
Method: DFT, PBE
State: relaxed

abc: 4.873 4.873 4.873
angles: 90.00 90.00 90.00
Positions (direct):
Si  0.500  0.500  0.500
Rh  0.000  0.000  0.000
Se  0.000  0.500  0.000
Se  0.000  0.000  0.500
Se  0.500  0.000  0.000

Summary:
magnetization = 0.00 μB per cell
SG = Pm-3m
formation energy without anion corrections = 282.9 kJ/mol of formula units
V = 23.14 Å³ per atom



Material: SiRhSe2
Method: DFT, PBE
State: relaxed

abc: 7.927 7.927 7.927
angles: 24.98 24.98 24.98
Positions (direct):
Rh  0.751  0.751  0.751
Se  0.024  0.024  0.024
Se  0.228  0.228  0.228
Si  0.497  0.497  0.497

Summary:
magnetization = 0.00 μB per cell
SG = R3m
formation energy without anion corrections = -71.7 kJ/mol of formula units
V = 19.54 Å³ per atom



Material: SiRhSe
Method: DFT, PBE
State: relaxed

abc: 6.079 6.079 6.079
angles: 152.19 152.16 39.76
Positions (direct):
Rh  0.018  0.018  0.000
Se  0.344  0.344  0.000
Si  0.638  0.638  0.000

Summary:
magnetization = 0.00 μB per cell
SG = I4mm
formation energy without anion corrections = -3.2 kJ/mol of formula units
V = 16.29 Å³ per atom



Material: SiRhSe2
Method: DFT, PBE
State: relaxed

abc: 4.519 4.519 4.516
angles: 70.54 70.54 109.50
Positions (direct):
Rh  0.000  0.500  0.500
Se  0.000  0.000  0.000
Se  0.500  0.500  0.000
Si  0.500  0.000  0.500

Summary:
magnetization = 0.00 μB per cell
SG = I4/mmm
formation energy without anion corrections = 3.2 kJ/mol of formula units
V = 17.75 Å³ per atom



Material: Th4SiRhSe2
Method: DFT, PBE
State: relaxed

abc: 4.122 7.388 7.446
angles: 71.37 90.00 90.00
Positions (direct):
Th  0.000  0.725  0.765
Th  0.000  0.275  0.235
Th  0.500  0.736  0.255
Th  0.500  0.264  0.745
Si  0.000  0.500  0.500
Rh  0.500  0.500  0.000
Se  0.000  0.000  0.000
Se  0.500  0.000  0.500

Summary:
magnetization = 0.00 μB per cell
SG = P2/m
formation energy without anion corrections = -904.0 kJ/mol of formula units
V = 26.86 Å³ per atom



Material: Sm8Te4RhSe3
Method: DFT, PBE
State: relaxed

abc: 8.592 8.706 8.592
angles: 119.57 120.00 90.00
Positions (direct):
Sm  0.231  0.717  0.986
Sm  0.232  0.718  0.464
Sm  0.259  0.277  0.518
Sm  0.755  0.717  0.986
Sm  0.245  0.283  0.014
Sm  0.741  0.723  0.482
Sm  0.768  0.282  0.536
Sm  0.769  0.283  0.014
Te  0.500  0.000  0.000
Te  0.500  0.000  0.500
Te  0.000  0.000  0.000
Te  0.000  0.000  0.500
Rh  0.000  0.500  0.000
Se  0.500  0.500  0.000
Se  0.500  0.500  0.500
Se  0.000  0.500  0.500

Summary:
magnetization = 0.00 μB per cell
SG = R-3m
formation energy without anion corrections = -2294.7 kJ/mol of formula units
V = 28.58 Å³ per atom



Material: Sm4TeRhSe2
Method: DFT, PBE
State: relaxed

abc: 4.167 7.471 7.400
angles: 108.71 90.00 90.00
Positions (direct):
Sm  0.500  0.272  0.257
Sm  0.500  0.728  0.743
Sm  0.000  0.278  0.766
Sm  0.000  0.722  0.234
Te  0.000  0.000  0.000
Rh  0.500  0.500  0.000
Se  0.500  0.000  0.500
Se  0.000  0.500  0.500

Summary:
magnetization = 0.00 μB per cell
SG = P2/m
formation energy without anion corrections = -1071.9 kJ/mol of formula units
V = 27.27 Å³ per atom



Material: SmThRhSe
Method: DFT, PBE
State: relaxed

abc: 4.055 4.055 7.821
angles: 90.00 105.01 120.00
Positions (direct):
Sm  0.487  0.142  0.644
Th  0.112  0.954  0.081
Rh  0.310  0.553  0.879
Se  0.968  0.382  0.365

Summary:
magnetization = 0.00 μB per cell
SG = R3m
formation energy without anion corrections = -469.9 kJ/mol of formula units
V = 26.56 Å³ per atom



Material: SnRhSe4
Method: DFT, PBE
State: relaxed

abc: 3.741 6.739 11.720
angles: 104.29 90.00 90.00
Positions (direct):
Sn  0.000  0.500  0.500
Sn  0.500  0.500  0.000
Rh  0.500  0.000  0.500
Rh  0.000  0.000  0.000
Se  0.500  0.645  0.369
Se  0.000  0.355  0.131
Se  0.500  0.355  0.631
Se  0.000  0.645  0.869
Se  0.000  0.097  0.380
Se  0.500  0.903  0.120
Se  0.000  0.903  0.620
Se  0.500  0.097  0.880

Summary:
magnetization = 0.00 μB per cell
SG = C2/m
formation energy without anion corrections = -205.3 kJ/mol of formula units
V = 23.86 Å³ per atom



Material: SnRh3Se
Method: DFT, PBE
State: relaxed

abc: 4.611 4.611 4.611
angles: 90.00 90.00 90.00
Positions (direct):
Rh  0.000  0.500  0.000
Rh  0.000  0.000  0.500
Rh  0.500  0.000  0.000
Sn  0.500  0.500  0.500
Se  0.000  0.000  0.000

Summary:
magnetization = 0.00 μB per cell
SG = Pm-3m
formation energy without anion corrections = 161.1 kJ/mol of formula units
V = 19.60 Å³ per atom



Material: Sn2RhSe2
Method: DFT, PBE
State: relaxed

abc: 4.388 4.388 12.636
angles: 98.83 98.83 89.37
Positions (direct):
Sn  0.910  0.522  0.857
Sn  0.772  0.660  0.357
Sn  0.340  0.228  0.643
Sn  0.478  0.090  0.143
Rh  0.447  0.553  0.000
Rh  0.803  0.197  0.500
Se  0.775  0.749  0.609
Se  0.999  0.525  0.109
Se  0.475  0.001  0.891
Se  0.251  0.225  0.391

Summary:
magnetization = 0.00 μB per cell
SG = C2/c
formation energy without anion corrections = -127.5 kJ/mol of formula units
V = 23.75 Å³ per atom



Material: SnRh2Se3
Method: DFT, PBE
State: relaxed

abc: 5.247 7.371 7.371
angles: 120.00 90.00 90.01
Positions (direct):
Sn  0.325  0.333  0.667
Sn  0.675  0.667  0.333
Rh  0.000  0.000  0.000
Rh  0.000  0.500  0.000
Rh  0.000  0.000  0.500
Rh  0.000  0.500  0.500
Se  0.750  0.171  0.829
Se  0.750  0.658  0.829
Se  0.750  0.171  0.342
Se  0.250  0.829  0.658
Se  0.250  0.829  0.171
Se  0.250  0.342  0.171

Summary:
magnetization = 0.00 μB per cell
SG = P-3m1
formation energy without anion corrections = -238.1 kJ/mol of formula units
V = 20.57 Å³ per atom



Material: SnRh3Se
Method: DFT, PBE
State: relaxed

abc: 5.972 7.666 7.666
angles: 91.39 89.98 89.98
Positions (direct):
Sn  0.250  0.996  0.004
Sn  0.750  0.004  0.996
Sn  0.250  0.337  0.663
Sn  0.750  0.663  0.337
Rh  0.504  0.699  0.029
Rh  0.996  0.971  0.301
Rh  0.496  0.301  0.971
Rh  0.004  0.029  0.699
Rh  0.004  0.301  0.971
Rh  0.496  0.029  0.699
Rh  0.996  0.699  0.029
Rh  0.504  0.971  0.301
Rh  0.500  0.634  0.634
Rh  0.000  0.366  0.366
Rh  0.500  0.366  0.366
Rh  0.000  0.634  0.634
Se  0.750  0.519  0.847
Se  0.750  0.153  0.481
Se  0.250  0.481  0.153
Se  0.250  0.847  0.519

Summary:
magnetization = 0.00 μB per cell
SG = Cmcm
formation energy without anion corrections = -108.1 kJ/mol of formula units
V = 17.54 Å³ per atom



Material: Sn4RhSe8
Method: DFT, PBE
State: relaxed

abc: 7.778 7.778 7.778
angles: 60.59 60.59 60.59
Positions (direct):
Sn  0.500  0.000  0.500
Sn  0.000  0.500  0.500
Sn  0.500  0.500  0.000
Sn  0.000  0.000  0.000
Rh  0.500  0.500  0.500
Se  0.268  0.731  0.268
Se  0.732  0.732  0.269
Se  0.732  0.269  0.732
Se  0.269  0.732  0.732
Se  0.752  0.752  0.752
Se  0.248  0.248  0.248
Se  0.731  0.268  0.268
Se  0.268  0.268  0.731

Summary:
magnetization = 0.00 μB per cell
SG = R-3m
formation energy without anion corrections = -456.4 kJ/mol of formula units
V = 25.93 Å³ per atom



Material: SnRh3Se
Method: DFT, PBE
State: relaxed

abc: 4.864 4.864 4.864
angles: 90.00 90.00 90.00
Each line ends with the local moment (μB).
Positions (direct):
Rh  0.000  0.500  0.000  0.66
Rh  0.000  0.000  0.500  0.47
Rh  0.500  0.000  0.000  0.50
Sn  0.000  0.000  0.000  -0.03
Se  0.500  0.500  0.500  0.12

Summary:
magnetization = 1.84 μB per cell
SG = Pm-3m
formation energy without anion corrections = 556.7 kJ/mol of formula units
V = 23.02 Å³ per atom



Material: Sn3Rh2Se3
Method: DFT, PBE
State: relaxed

abc: 9.065 9.065 9.065
angles: 89.96 89.96 90.04
Positions (direct):
Sn  0.848  0.666  0.999
Sn  0.835  0.499  0.652
Sn  0.999  0.152  0.666
Sn  0.666  0.001  0.152
Sn  0.001  0.848  0.334
Sn  0.165  0.501  0.348
Sn  0.501  0.652  0.835
Sn  0.348  0.835  0.501
Sn  0.652  0.165  0.499
Sn  0.334  0.999  0.848
Sn  0.499  0.348  0.165
Sn  0.152  0.334  0.001
Rh  0.744  0.246  0.757
Rh  0.256  0.754  0.243
Rh  0.246  0.243  0.256
Rh  0.754  0.757  0.744
Rh  0.243  0.744  0.754
Rh  0.745  0.745  0.255
Rh  0.757  0.256  0.246
Rh  0.255  0.255  0.745
Se  0.850  0.347  0.999
Se  0.150  0.653  0.001
Se  0.351  0.153  0.502
Se  0.153  0.498  0.649
Se  0.498  0.351  0.847
Se  0.347  0.001  0.150
Se  0.649  0.847  0.498
Se  0.847  0.502  0.351
Se  0.999  0.150  0.347
Se  0.001  0.850  0.653
Se  0.653  0.999  0.850
Se  0.502  0.649  0.153

Summary:
magnetization = 0.00 μB per cell
SG = R-3
formation energy without anion corrections = -428.1 kJ/mol of formula units
V = 23.28 Å³ per atom



Material: SnRhW2Se
Method: DFT, PBE
State: relaxed

abc: 4.839 4.773 4.839
angles: 90.00 90.00 90.00
Each line ends with the local moment (μB).
Positions (direct):
Se  0.000  0.500  0.000  0.01
Rh  0.000  0.000  0.000  -0.01
Sn  0.500  0.500  0.500  -0.03
W  0.000  0.000  0.500  0.64
W  0.500  0.000  0.000  0.77

Summary:
magnetization = 1.78 μB per cell
SG = P4/mmm
formation energy without anion corrections = 762.3 kJ/mol of formula units
V = 22.35 Å³ per atom



Material: SrRh2Se
Method: DFT, PBE
State: relaxed

abc: 4.251 4.252 4.908
angles: 90.02 90.00 90.00
Positions (direct):
Rh  0.000  0.875  0.190
Rh  0.500  0.375  0.190
Se  0.000  0.375  0.405
Sr  0.500  0.875  0.714

Summary:
magnetization = 0.00 μB per cell
SG = P4mm
formation energy without anion corrections = -206.7 kJ/mol of formula units
V = 22.18 Å³ per atom



Material: SrRh2Se
Method: DFT, PBE
State: relaxed

abc: 4.161 5.543 4.168
angles: 68.30 89.04 111.65
Positions (direct):
Rh  0.000  0.000  0.000
Rh  0.500  0.000  0.500
Se  0.000  0.500  0.500
Sr  0.500  0.500  0.000

Summary:
magnetization = 0.00 μB per cell
SG = Fmmm
formation energy without anion corrections = -25.5 kJ/mol of formula units
V = 20.43 Å³ per atom



Material: SrRhSe2
Method: DFT, PBE
State: relaxed

abc: 3.497 4.913 4.913
angles: 90.00 90.00 90.00
Positions (direct):
Rh  0.500  0.000  0.500
Se  0.000  0.000  0.000
Se  0.000  0.500  0.500
Sr  0.500  0.500  0.000

Summary:
magnetization = 0.00 μB per cell
SG = P4/mmm
formation energy without anion corrections = -228.5 kJ/mol of formula units
V = 21.10 Å³ per atom